Entry 1:
Here is an optimized crystal structure of PuGaI4 from Alexandria. Energies are from GGA-PBE.

Summary:
SG	P2/m
total energy	-28.533	eV for the cell shown

extended XYZ file:
```
6
Lattice="7.416 0.000 0.000 0.000 4.566 0.000 -0.192 0.000 8.218" Properties=species:S:1:pos:R:3 pbc="T T T"
Pu 0.000 0.000 0.000
Ga -0.096 2.283 4.109
I 1.595 0.000 5.735
I 1.708 2.283 1.311
I 5.517 2.283 6.908
I 5.630 0.000 2.483
```

---

Entry 2:
Here is an optimized crystal structure of PuGaI from Alexandria. Energies are from GGA-PBE.

Summary:
SG	Cmcm
total energy	-41.001	eV for the cell shown

extended XYZ file:
```
6
Lattice="1.853 -11.686 0.000 1.853 11.686 0.000 0.000 0.000 4.140" Properties=species:S:1:pos:R:3 pbc="T T T"
Pu 1.853 9.509 3.105
Pu 1.853 -9.509 1.035
Ga 1.853 0.644 3.105
Ga 1.853 -0.644 1.035
I 1.853 4.049 3.105
I 1.853 -4.049 1.035
```

---

Entry 3:
Here is an optimized crystal structure of PuGa2I5 from Alexandria. Energies are from GGA-PBE.

Summary:
SG	C2/m
total energy	-33.318	eV for the cell shown

extended XYZ file:
```
8
Lattice="3.021 -7.705 0.000 3.021 7.705 0.000 -2.994 0.000 8.893" Properties=species:S:1:pos:R:3 pbc="T T T"
Pu 0.000 0.000 0.000
Ga 0.022 0.000 4.169
Ga 3.026 0.000 4.724
I 0.028 5.589 6.637
I 3.020 5.589 2.256
I 3.021 0.000 0.000
I 0.028 -5.589 6.637
I 3.020 -5.589 2.256
```

---

Entry 4:
Here is an optimized crystal structure of Pu2GaI from Alexandria. Energies are from GGA-PBE.

Summary:
SG	P4/mmm
total energy	-34.752	eV for the cell shown
distance to the lowest polymorph of the same formula	0	meV/atom

extended XYZ file:
```
4
Lattice="3.584 0.000 0.000 0.000 3.584 0.000 0.000 0.000 8.175" Properties=species:S:1:pos:R:3 pbc="T T T"
Pu 0.000 0.000 1.790
Pu 0.000 0.000 6.384
Ga 1.792 1.792 0.000
I 1.792 1.792 4.087
```

---

Entry 5:
Here is an optimized crystal structure of PuGaI4 from Alexandria. Energies are from GGA-PBE.

Summary:
SG	C2/m
total energy	-28.522	eV for the cell shown

extended XYZ file:
```
6
Lattice="8.373 -2.282 0.000 8.373 2.282 0.000 -3.818 0.000 7.289" Properties=species:S:1:pos:R:3 pbc="T T T"
Pu 0.000 0.000 0.000
Ga 6.464 0.000 3.645
I -1.126 0.000 5.849
I 3.598 0.000 5.354
I 9.331 0.000 1.935
I 14.054 0.000 1.440
```

---

Entry 6:
Here is an optimized crystal structure of PuGa2I6 from Alexandria. Energies are from GGA-PBE.

Summary:
SG	R3
total energy	-35.460	eV for the cell shown

extended XYZ file:
```
9
Lattice="3.959 2.286 7.571 -3.959 2.286 7.571 0.000 -4.572 7.571" Properties=species:S:1:pos:R:3 pbc="T T T"
Pu 0.000 0.000 0.000
Ga 0.000 0.000 3.994
Ga 0.000 0.000 7.824
I -1.107 -2.420 9.453
I -2.756 -0.016 13.523
I -1.543 2.169 9.453
I 1.392 -2.379 13.523
I 2.650 0.251 9.453
I 1.365 2.395 13.523
```

---

Entry 7:
Here is an optimized crystal structure of Pu2GaI from Alexandria. Energies are from GGA-PBE.

Summary:
SG	Fm-3m
total energy	-34.021	eV for the cell shown
distance to the lowest polymorph of the same formula	183	meV/atom

extended XYZ file:
```
4
Lattice="0.000 3.709 3.709 3.709 0.000 3.709 3.709 3.709 0.000" Properties=species:S:1:pos:R:3 pbc="T T T"
Pu 1.855 1.855 1.855
Pu 5.564 5.564 5.564
Ga 0.000 0.000 0.000
I 3.709 3.709 3.709
```

---

Entry 8:
Here is an optimized crystal structure of PuTl3Ga3I8 from Alexandria. Energies are from GGA-PBE.

Summary:
SG	R-3m
total energy	-51.999	eV for the cell shown

extended XYZ file:
```
15
Lattice="4.767 2.752 8.137 -4.767 2.752 8.137 0.000 -5.504 8.137" Properties=species:S:1:pos:R:3 pbc="T T T"
Pu 0.000 0.000 0.000
Tl -4.767 0.000 12.205
Tl -2.383 1.376 4.068
Tl 2.383 1.376 4.068
Ga -2.383 -1.376 8.137
Ga -2.383 1.376 16.274
Ga 0.000 2.752 8.137
I 0.000 -2.832 9.943
I -2.453 1.416 9.943
I -2.453 -1.416 14.468
I 0.000 0.000 6.266
I 0.000 0.000 18.144
I 2.453 1.416 9.943
I 2.453 -1.416 14.468
I 0.000 2.832 14.468
```

---

Energy relative to the elements, uncorrected values, unit eV per atom, following the record order: -0.83 -0.53 -0.65 -0.38 -0.83 -0.64 -0.20 -0.61.